(1)
The following is a GGA-PBE calculation of an optimized crystal structure of RbOs3Br, from Alexandria via LeMat-Bulk.

Computed properties:
* energy relative to the elements, uncorrected: 2.5778 eV/atom

abc: 4.742 4.742 4.742
angles: 90.00 90.00 90.00
Space group Pm-3m (No. 221)
One atom of each set of equivalent atoms:
Rb 0.000 0.000 0.000 x1
Os 0.000 0.500 0.500 x3
Br 0.500 0.500 0.500 x1


(2)
The following is a GGA-PBE calculation of an optimized crystal structure of Tb2DyEr2Tm4, from Alexandria via LeMat-Bulk.

Computed properties:
* formation enthalpy at 0 K: 0.00 eV/f.u.

abc: 18.384 3.539 9.395
angles: 90.00 115.81 90.00
Space group C2/m (No. 12)
One atom of each set of equivalent atoms:
Tb 0.148 0.000 0.165 x4
Dy 0.000 0.000 0.500 x2
Er 0.167 0.500 0.502 x4
Tm 0.019 0.500 0.834 x4
Tm 0.185 0.000 0.835 x4


(3)
The following is a GGA-PBE calculation of an optimized crystal structure of Sc4TaSe, from Alexandria via LeMat-Bulk.

Computed properties:
* energy relative to the elements, uncorrected: 0.4088 eV/atom

abc: 8.084 8.084 8.084
angles: 90.00 90.00 90.00
Space group F-43m (No. 216)
One atom of each set of equivalent atoms:
Sc 0.123 0.123 0.377 x16
Ta 0.250 0.250 0.750 x4
Se 0.000 0.000 0.000 x4


Calculated DOS at the Fermi energy in order - 7.5 23.9 23.1 states/eV per cell